Density functional theory data (PBE) for an optimized crystal structure of La12Nd2Sm5.

Its excess energy over the best structure of this formula in the dataset is 0.00 kcal/mol of atoms. The value obtained for the formation energy is 92.5 meV/atom.

The structure belongs to space group C2/m (No. 12); the cell edges are 13.3679, 11.9218 and 9.6090 Å and the angles 90.00°, 116.36° and 90.00°. The asymmetric unit holds La at (0.0694, 0.0000, 0.2742), La at (0.1054, 0.2333, 0.9093), La at (0.1071, 0.5000, 0.4322), La at (0.2074, 0.2466, 0.3086), Nd at (0.0000, 0.2190, 0.5000), Sm at (0.0000, 0.5000, 0.0000), Sm at (0.1914, 0.0000, 0.7300) and Sm at (0.2076, 0.5000, 0.8516).



Density functional theory data (PBE) for an optimized crystal structure of Ca4AgAuN.

The value obtained for the formation energy from raw total energies is -0.6059 eV/atom.

The structure belongs to space group Cmcm (No. 63); the cell edges are 6.7756, 15.4156 and 6.7726 Å and the angles 90.00°, 90.00° and 90.00°. The asymmetric unit holds Ca at (0.0000, 0.0872, 0.2500), Ca at (0.0000, 0.4091, 0.2500), Ca at (0.2500, 0.2500, 0.0000), Ag at (0.0000, 0.3920, 0.7500), Au at (0.0000, 0.1125, 0.7500) and N at (0.0000, 0.2499, 0.2500).



Density functional theory data (PBE) for an optimized crystal structure of NpBr4.

The value obtained for the formation energy from raw total energies is -0.8168 eV/atom.

The structure belongs to space group Pm-3m (No. 221); the cell edges are 5.6446, 5.6446 and 5.6446 Å and the angles 90.00°, 90.00° and 90.00°. The asymmetric unit holds Np at (0.0000, 0.0000, 0.0000), Br at (0.0000, 0.0000, 0.5000) and Br at (0.5000, 0.5000, 0.5000).



Density functional theory data (PBE) for an optimized crystal structure of Th2TlInOs.

The value obtained for the formation energy is -177.0 meV/atom.

The structure belongs to space group P2_1/m (No. 11); the cell edges are 8.4826, 4.0532 and 8.9640 Å and the angles 90.00°, 107.86° and 90.00°. The asymmetric unit holds Th at (0.1253, 0.2500, 0.4020), Th at (0.2069, 0.2500, 0.0160), Tl at (0.3031, 0.7500, 0.7447), In at (0.4691, 0.7500, 0.3552) and Os at (0.1395, 0.7500, 0.2038).



Density functional theory data (PBE) for an optimized crystal structure of Li2In3Hg4.

Its excess energy over the best structure of this formula in the dataset is 0.00 kcal/mol of atoms. The value obtained for the formation energy is -153.7 meV/atom.

The structure belongs to space group P-1 (No. 2); the cell edges are 4.8722, 5.0051 and 9.7014 Å and the angles 82.99°, 86.01° and 63.24°. The asymmetric unit holds Li at (0.1643, 0.1705, 0.2171), In at (0.1678, 0.1589, 0.5675), In at (0.5000, 0.5000, 0.0000), Hg at (0.1651, 0.1706, 0.8883) and Hg at (0.4945, 0.5047, 0.3190).



Density functional theory data (PBE) for an optimized crystal structure of AcY2Ag2Pb2.

The value obtained for the formation energy is -351.5 meV/atom.

The structure belongs to space group R-3m (No. 166, hexagonal axes); the cell edges are 5.0107, 5.0107 and 27.4098 Å and the angles 90.00°, 90.00° and 120.00°. The asymmetric unit holds Ac at (0.0000, 0.0000, 0.0000), Y at (0.0000, 0.0000, 0.1355), Ag at (0.0000, 0.0000, 0.4452) and Pb at (0.0000, 0.0000, 0.2604).



Density functional theory data (PBE) for an optimized crystal structure of Ac4Nd2Pb3O2.

The value obtained for the formation energy from raw total energies is -1.2458 eV/atom.

The structure belongs to space group I4/mmm (No. 139); the cell edges are 5.1018, 5.1018 and 27.0069 Å and the angles 90.00°, 90.00° and 90.00°. The asymmetric unit holds Ac at (0.0000, 0.5000, 0.0852), Nd at (0.0000, 0.0000, 0.1969), Pb at (0.0000, 0.0000, 0.3182), Pb at (0.0000, 0.0000, 0.5000) and O at (0.0000, 0.0000, 0.1071).



Density functional theory data (PBE) for an optimized crystal structure of InSOF2.

Its excess energy over the best structure of this formula in the dataset is 1.63 kcal/mol of atoms. The value obtained for the formation energy from raw total energies is -0.8028 eV/atom.

The structure belongs to space group P4/mmm (No. 123); the cell edges are 4.6253, 4.6253 and 3.4828 Å and the angles 90.00°, 90.00° and 90.00°. The asymmetric unit holds In at (0.0000, 0.0000, 0.0000), S at (0.5000, 0.5000, 0.5000), O at (0.5000, 0.5000, 0.0000) and F at (0.0000, 0.5000, 0.5000).



Density functional theory data (PBE) for an optimized crystal structure of CaMn2I6.

Its excess energy over the best structure of this formula in the dataset is 0.00 kcal/mol of atoms. The value obtained for the formation energy from raw total energies is -0.7922 eV/atom.

The structure belongs to space group C2/c (No. 15); the cell edges are 14.7685, 13.4552 and 7.8850 Å and the angles 90.00°, 101.55° and 90.00°. The asymmetric unit holds Ca at (0.0000, 0.1064, 0.2500), Mn at (0.1921, 0.4205, 0.3087), I at (0.1170, 0.0787, 0.6324), I at (0.1310, 0.2573, 0.1274) and I at (0.1316, 0.4182, 0.6116).



Density functional theory data (PBE) for an optimized crystal structure of P2OsSeCl.

Its excess energy over the best structure of this formula in the dataset is 0.00 kcal/mol of atoms. The value obtained for the formation energy from raw total energies is 0.5814 eV/atom.

The structure belongs to space group P4/mmm (No. 123); the cell edges are 4.5936, 4.5936 and 4.7886 Å and the angles 90.00°, 90.00° and 90.00°. The asymmetric unit holds P at (0.0000, 0.5000, 0.0000), Os at (0.0000, 0.0000, 0.0000), Se at (0.5000, 0.5000, 0.5000) and Cl at (0.0000, 0.0000, 0.5000).



Density functional theory data (PBE) for an optimized crystal structure of Pr2Ho3Er3.

Its excess energy over the best structure of this formula in the dataset is 0.00 kcal/mol of atoms. The value obtained for the formation energy is 129.7 meV/atom.

The structure belongs to space group Cmcm (No. 63); the cell edges are 3.5917, 17.4041 and 16.8126 Å and the angles 90.00°, 90.00° and 90.00°. The asymmetric unit holds Pr at (0.0000, 0.2168, 0.1488), Ho at (0.0000, 0.3569, 0.0139), Ho at (0.0000, 0.3916, 0.2500), Er at (0.0000, 0.0051, 0.1005) and Er at (0.0000, 0.4219, 0.7500).



Density functional theory data (PBE) for an optimized crystal structure of Tb2SmCd2In2.

The value obtained for the formation energy is -269.8 meV/atom.

The structure belongs to space group R-3m (No. 166, hexagonal axes); the cell edges are 4.9580, 4.9580 and 27.1061 Å and the angles 90.00°, 90.00° and 120.00°. The asymmetric unit holds Tb at (0.0000, 0.0000, 0.1285), Sm at (0.0000, 0.0000, 0.0000), Cd at (0.0000, 0.0000, 0.3995) and In at (0.0000, 0.0000, 0.2587).



no.,total moment (μB per cell)
1,0.0
2,0.0
3,4.1
4,0.0
5,0.0
6,0.0
7,0.0
8,0.0
9,40.0
10,0.0
11,0.0
12,0.0